A plane-wave DFT calculation with PBE was carried out for HfSO after structural relaxation.

Output
Raw formation energy in meV per atom: -2329

a = 3.5979 Å, b = 3.5979 Å, c = 3.8476 Å
α = 90.00°, β = 90.00°, γ = 120.00°
Last column: nearest neighbours and their distance in Å.
Space group P-6m2 (No. 187)
Asymmetric unit:
Hf1 0.0000 0.0000 0.0000  3 O 2.08
S1 0.6667 0.3333 0.5000  6 Hf 2.83, 6 O 2.83
O1 0.3333 0.6667 0.0000  3 Hf 2.08

=====

A plane-wave DFT calculation with PBE was carried out for HfSO after structural relaxation.

Output
Raw formation energy in meV per atom: -2562

a = 5.6977 Å, b = 5.6977 Å, c = 5.6977 Å
α = 90.00°, β = 90.00°, γ = 90.00°
Last column: nearest neighbours and their distance in Å.
Space group P2_13 (No. 198)
Asymmetric unit:
Hf1 0.1797 0.3203 0.6797  3 O 2.08
S1 0.0810 0.0810 0.0810  4 Hf 2.57-2.72
O1 0.0949 0.5949 0.9051  3 Hf 2.08

=====

A plane-wave DFT calculation with PBE was carried out for Hf7S12O after structural relaxation.

Output
Raw formation energy in meV per atom: -1535

a = 12.9528 Å, b = 12.9528 Å, c = 8.7427 Å
α = 90.00°, β = 90.00°, γ = 120.00°
Last column: nearest neighbours and their distance in Å.
Space group R-3 (No. 148, hexagonal axes)
Asymmetric unit:
Hf1 0.0000 0.0000 0.0000  6 S 2.54
Hf2 0.0504 0.1820 0.3362  5 S 2.48-2.54, 1 O 2.55
S1 0.0226 0.5875 0.1637  3 Hf 2.48-2.54
S2 0.0492 0.1762 0.8270  3 Hf 2.51-2.54
O1 0.0000 0.0000 0.5000  6 Hf 2.55

=====

A plane-wave DFT calculation with PBE was carried out for HfSO after structural relaxation.

Output
Raw formation energy in meV per atom: -2417

a = 12.9750 Å, b = 3.4019 Å, c = 5.8814 Å
α = 90.00°, β = 97.50°, γ = 90.00°
Last column: nearest neighbours and their distance in Å.
Space group C2/m (No. 12)
Asymmetric unit:
Hf1 0.0000 0.0000 0.0000  4 O 2.14
Hf2 0.0000 0.5000 0.5000  2 O 2.09
S1 0.1259 0.0000 0.6966  3 Hf 2.53-2.57
O1 0.0626 0.5000 0.1903  3 Hf 2.09-2.14